No. 1
An optimized crystal structure of NaPm5Pb6. Source: the Alexandria database, functional PBE.

Lattice parameters (Å, degrees): 5.003 10.399 9.344 56.19 74.46 61.22
Element x y z (fractional)
Pm: 0.500 0.845 0.311
Pm: 0.000 0.334 0.332
Pm: 0.000 0.666 0.668
Pm: 0.500 0.500 0.000
Pm: 0.500 0.155 0.689
Pb: 0.749 0.750 0.000
Pb: 0.749 0.082 0.338
Pb: 0.251 0.918 0.662
Pb: 0.251 0.250 0.000
Pb: 0.749 0.420 0.662
Pb: 0.251 0.580 0.338
Na: 0.000 0.000 0.000

Properties
DOS(E_F)	0.689	states/eV per atom
E_form	-5.5	eV per formula unit
M_tot	0.00	Bohr magnetons per cell

---

No. 2
An optimized crystal structure of Na5PmPb6. Source: the Alexandria database, functional PBE.

Lattice parameters (Å, degrees): 4.896 9.704 7.680 90.00 71.41 90.00
Element x y z (fractional)
Pb: 0.166 0.750 0.669
Pb: 0.834 0.750 0.331
Pb: 0.500 0.758 0.000
Pb: 0.166 0.250 0.669
Pb: 0.834 0.250 0.331
Pb: 0.500 0.242 0.000
Na: 0.324 0.000 0.353
Na: 0.000 0.500 0.000
Na: 0.676 0.000 0.647
Na: 0.667 0.500 0.665
Na: 0.333 0.500 0.335
Pm: 0.000 0.000 0.000

Properties
DOS(E_F)	0.516	states/eV per atom
E_form	-2.3	eV per formula unit
M_tot	0.00	Bohr magnetons per cell

---

No. 3
An optimized crystal structure of NaPmPb2. Source: the Alexandria database, functional PBE.

Lattice parameters (Å, degrees): 3.516 3.516 9.612 90.00 90.00 90.00
Element x y z (fractional)
Pb: 0.000 0.000 0.248
Pb: 0.000 0.000 0.752
Na: 0.500 0.500 0.500
Pm: 0.500 0.500 0.000

Properties
DOS(E_F)	0.508	states/eV per atom
E_form	-1.3	eV per formula unit
M_tot	0.00	Bohr magnetons per cell

---

No. 4
An optimized crystal structure of NaPm6Pb12. Source: the Alexandria database, functional PBE.

Lattice parameters (Å, degrees): 9.006 9.006 9.006 103.56 103.56 103.56
Site moments in Bohr magnetons follow the coordinates.
Element x y z (fractional)
Pb: 0.643 0.118 0.460  0.00
Pb: 0.673 0.996 0.115  0.00
Pb: 0.118 0.460 0.643  0.00
Pb: 0.885 0.327 0.004  0.00
Pb: 0.327 0.004 0.885  0.00
Pb: 0.882 0.540 0.357  0.00
Pb: 0.460 0.643 0.118  0.00
Pb: 0.004 0.885 0.327  0.00
Pb: 0.996 0.115 0.673  0.00
Pb: 0.540 0.357 0.882  0.00
Pb: 0.115 0.673 0.996  0.00
Pb: 0.357 0.882 0.540  0.00
Pm: 0.312 0.218 0.510  0.09
Pm: 0.688 0.782 0.490  0.09
Pm: 0.510 0.312 0.218  0.09
Pm: 0.218 0.510 0.312  0.09
Pm: 0.782 0.490 0.688  0.09
Pm: 0.490 0.688 0.782  0.09
Na: 0.000 0.000 0.000  0.00

Properties
DOS(E_F)	0.844	states/eV per atom
E_form	-1.9	eV per formula unit
M_tot	1.21	Bohr magnetons per cell

---

No. 5
An optimized crystal structure of NaPm2Pb6. Source: the Alexandria database, functional PBE.

Lattice parameters (Å, degrees): 3.550 9.988 9.969 120.06 110.85 90.00
Element x y z (fractional)
Pm: 0.329 0.665 0.330
Pm: 0.671 0.335 0.670
Na: 0.000 0.000 0.000
Pb: 0.161 0.669 0.665
Pb: 0.161 0.995 0.665
Pb: 0.839 0.005 0.335
Pb: 0.500 0.341 0.000
Pb: 0.839 0.331 0.335
Pb: 0.500 0.659 0.000

Properties
DOS(E_F)	0.592	states/eV per atom
E_form	-2.0	eV per formula unit
M_tot	0.00	Bohr magnetons per cell

---

No. 6
An optimized crystal structure of NaPm2Pb5. Source: the Alexandria database, functional PBE.

Lattice parameters (Å, degrees): 6.823 6.823 6.823 117.15 117.15 95.00
Element x y z (fractional)
Pb: 0.278 0.278 0.000
Pb: 0.278 0.278 0.500
Pb: 0.278 0.778 0.000
Pb: 0.778 0.778 0.500
Pb: 0.778 0.278 0.000
Pm: 0.778 0.278 0.500
Pm: 0.278 0.778 0.500
Na: 0.778 0.778 0.000

Properties
DOS(E_F)	0.454	states/eV per atom
E_form	-2.9	eV per formula unit
M_tot	0.00	Bohr magnetons per cell

---

Question: Which of these has the highest DOS(E_F)?
Answer: NaPm6Pb12